Entry 1:
NaSr2IrPb: optimized geometry, GGA-PBE.

Crystal system   tetragonal
D(E_F)   2.587 states/eV/cell
Formation energy from the elements   -0.84 eV per formula unit

Cell lengths 5.9303, 5.9303, 5.2609 Å; angles 90.00, 90.00, 90.00 degrees
Last column: nearest neighbours and their distance in Å.
Fractional positions:
Na: 0.0000 0.0000 0.0000  8 Sr 3.96, 4 Pb 4.19
Sr: 0.0000 0.5000 0.5000  2 Ir 2.97
Sr: 0.5000 0.0000 0.5000  2 Ir 2.97
Ir: 0.5000 0.5000 0.5000  2 Pb 2.63
Pb: 0.5000 0.5000 0.0000  2 Ir 2.63



Entry 2:
AcDy2Sc: optimized geometry, GGA-PBE.

Crystal system   tetragonal
D(E_F)   7.197 states/eV/cell
E above lowest polymorph   0 meV/atom
Formation energy from the elements   0.37 eV per formula unit

Cell lengths 5.0100, 5.0100, 5.1938 Å; angles 90.00, 90.00, 90.00 degrees
Last column: nearest neighbours and their distance in Å.
Fractional positions:
Ac: 0.0000 0.0000 0.0000  4 Sc 3.54, 8 Dy 3.61
Dy: 0.0000 0.5000 0.5000  4 Dy 3.54, 4 Ac 3.61, 4 Sc 3.61
Dy: 0.5000 0.0000 0.5000  4 Dy 3.54, 4 Ac 3.61, 4 Sc 3.61
Sc: 0.5000 0.5000 0.0000  4 Ac 3.54, 8 Dy 3.61



Entry 3:
TlNiOs2: optimized geometry, GGA-PBE.

Crystal system   tetragonal
D(E_F)   4.248 states/eV/cell
E above lowest polymorph   302 meV/atom
Formation energy from the elements   3.08 eV per formula unit

Cell lengths 3.0015, 3.0015, 6.9718 Å; angles 90.00, 90.00, 90.00 degrees
Last column: nearest neighbours and their distance in Å.
Fractional positions:
Tl: 0.0000 0.0000 0.0000  4 Tl 3.00, 8 Os 3.02
Ni: 0.0000 0.0000 0.5000  8 Os 2.51
Os: 0.5000 0.5000 0.3079  4 Ni 2.51, 1 Os 2.68
Os: 0.5000 0.5000 0.6921  4 Ni 2.51, 1 Os 2.68



Entry 4:
ErSc2PaBi4: optimized geometry, GGA-PBE.

Crystal system   monoclinic
D(E_F)   7.384 states/eV/cell
Formation energy from the elements   -4.32 eV per formula unit

Cell lengths 7.5499, 4.3604, 7.5802 Å; angles 90.00, 109.29, 90.00 degrees
Last column: nearest neighbours and their distance in Å.
Fractional positions:
Er: 0.0000 0.0000 0.0000  6 Bi 3.14
Sc: 0.5000 0.0000 0.5000  6 Bi 3.04
Sc: 0.5000 0.5000 0.0000  6 Bi 3.02
Pa: 0.0000 0.5000 0.5000  6 Bi 3.15-3.16
Bi: 0.2632 0.5000 0.2532  3 Sc 3.02-3.04, 2 Er 3.14, 1 Pa 3.15
Bi: 0.2660 0.0000 0.7577  3 Sc 3.02-3.04, 1 Er 3.14, 2 Pa 3.16
Bi: 0.7340 0.0000 0.2423  3 Sc 3.02-3.04, 1 Er 3.14, 2 Pa 3.16
Bi: 0.7368 0.5000 0.7468  3 Sc 3.02-3.04, 2 Er 3.14, 1 Pa 3.15